one | # SrAsBr

A relaxed SrAsBr crystal (PBE, Alexandria).

Computed properties:
Magnetic moment in μB/atom: 0.045
Space-group type: P3m1

Lattice parameters (Å, degrees): 4.006 4.006 8.111 90.00 90.00 120.00
Last column: magnetic moment on the atom in μB.
Positions (direct):
Sr  0.667  0.333  0.646  0.01
As  0.000  0.000  0.939  0.05
Br  0.333  0.667  0.415  0.00

two | # SrAsBr

A relaxed SrAsBr crystal (PBE, Alexandria).

Computed properties:
Magnetic moment in μB/atom: 0.000
Space-group type: P-3m1

Lattice parameters (Å, degrees): 4.556 4.556 11.505 90.00 90.00 120.00
Positions (direct):
Br  0.333  0.667  0.336
Br  0.667  0.333  0.664
Sr  0.000  0.000  0.804
Sr  0.000  0.000  0.196
As  0.667  0.333  0.019
As  0.333  0.667  0.981

Bottom line: two, by a margin of 702 meV per atom.

one | # SrAsBr

A relaxed SrAsBr crystal (PBE, Alexandria).

Computed properties:
Magnetic moment in μB/atom: 0.000
Space-group type: I4mm

Lattice parameters (Å, degrees): 8.217 8.217 3.597 77.35 77.36 25.29
Positions (direct):
Br  0.289  0.289  0.711
Sr  0.678  0.678  0.322
As  0.033  0.033  0.967

two | # SrAsBr

A relaxed SrAsBr crystal (PBE, Alexandria).

Computed properties:
Magnetic moment in μB/atom: 0.642
Space-group type: F-43m

Lattice parameters (Å, degrees): 5.229 5.229 5.229 60.00 60.00 60.00
Last column: magnetic moment on the atom in μB.
Positions (direct):
Br  0.750  0.750  0.750  0.23
As  0.500  0.500  0.500  0.65
Sr  0.000  0.000  0.000  0.04

three | # SrAsBr

A relaxed SrAsBr crystal (PBE, Alexandria).

Computed properties:
Magnetic moment in μB/atom: 0.668
Space-group type: F-43m

Lattice parameters (Å, degrees): 5.317 5.317 5.317 60.00 60.00 60.00
Last column: magnetic moment on the atom in μB.
Positions (direct):
As  0.000  0.000  0.000  0.72
Sr  0.750  0.750  0.750  0.06
Br  0.500  0.500  0.500  0.18

Bottom line: one, by a margin of 135 meV per atom.

one | # SrTcAsBr2

A relaxed SrTcAsBr2 crystal (PBE, Alexandria).

Computed properties:
Magnetic moment in μB/atom: 0.726
Space-group type: P4/mmm

Lattice parameters (Å, degrees): 5.709 5.709 6.307 90.00 90.00 90.00
Last column: magnetic moment on the atom in μB.
Positions (direct):
Br  0.000  0.500  0.000  0.00
Br  0.500  0.000  0.000  0.00
As  0.000  0.000  0.500  -0.61
Sr  0.000  0.000  0.000  -0.01
Tc  0.500  0.500  0.500  4.15

two | # SrTcAsBr2

A relaxed SrTcAsBr2 crystal (PBE, Alexandria).

Computed properties:
Magnetic moment in μB/atom: 0.093
Space-group type: P4/mmm

Lattice parameters (Å, degrees): 5.298 5.298 4.776 90.00 90.00 90.00
Last column: magnetic moment on the atom in μB.
Positions (direct):
Tc  0.000  0.000  0.000  0.43
Br  0.000  0.500  0.000  0.00
Br  0.500  0.000  0.000  0.00
As  0.000  0.000  0.500  -0.02
Sr  0.500  0.500  0.500  0.00

Bottom line: two, by a margin of 899 meV per atom.

one | # SrTlAs2Br

A relaxed SrTlAs2Br crystal (PBE, Alexandria).

Computed properties:
Magnetic moment in μB/atom: 0.473
Space-group type: P4/mmm

Lattice parameters (Å, degrees): 5.972 5.972 5.888 90.00 90.00 90.00
Last column: magnetic moment on the atom in μB.
Positions (direct):
As  0.500  0.000  0.000  0.46
As  0.000  0.500  0.000  0.46
Tl  0.500  0.500  0.500  0.02
Sr  0.000  0.000  0.000  0.01
Br  0.000  0.000  0.500  0.09

two | # SrTlAs2Br

A relaxed SrTlAs2Br crystal (PBE, Alexandria).

Computed properties:
Magnetic moment in μB/atom: 0.000
Space-group type: P4/mmm

Lattice parameters (Å, degrees): 5.262 5.262 6.043 90.00 90.00 90.00
Positions (direct):
As  0.000  0.500  0.000
As  0.500  0.000  0.000
Sr  0.500  0.500  0.500
Tl  0.000  0.000  0.000
Br  0.000  0.000  0.500

Bottom line: two, by a margin of 196 meV per atom.